Entry 1:
VASP calculation (PBE-GGA) on crystalline Sn3As2S at its relaxed geometry.

Output
**Raw formation energy**: -0.16 eV/atom
**Total moment**: 0.00 μB per formula unit

a b c (Å): 4.0838 4.0895 9.2692
angles (deg): 102.74 102.73 90.00
Last column: nearest neighbours and their distance in Å.
Element x y z (fractional)
1 Sn 0.0000 0.8857 0.0000  4 S 2.83-2.95, 2 As 2.94
2 As 0.8330 0.7059 0.6660  6 Sn 2.89-2.94
3 S 0.5000 0.3637 0.0000  6 Sn 2.83-2.96
4 Sn 0.6680 0.5419 0.3361  5 As 2.89-2.91, 1 S 2.96
5 As 0.1670 0.0398 0.3340  6 Sn 2.89-2.94
6 Sn 0.3320 0.2059 0.6639  5 As 2.89-2.91, 1 S 2.96


Entry 2:
VASP calculation (PBE-GGA) on crystalline DyUTe4 at its relaxed geometry.

Output
**Raw formation energy**: -0.70 eV/atom
**Offset from the most stable computed form**: 0.238 eV/atom
**Total moment**: 1.03 μB per formula unit

a b c (Å): 7.4548 7.5056 7.5150
angles (deg): 90.00 88.91 90.00
Last column: nearest neighbours and their distance in Å.
Element x y z (fractional)
1 Te 0.8400 0.6580 0.1524  2 U 3.04-3.05, 1 Dy 3.13
2 Te 0.3400 0.8420 0.1524  2 U 3.04-3.05, 1 Dy 3.13
3 Dy 0.0000 0.5000 0.5000  6 Te 3.09-3.13
4 Te 0.1426 0.8525 0.6563  1 U 2.99, 2 Dy 3.09-3.10
5 Te 0.6600 0.1580 0.8476  2 U 3.04-3.05, 1 Dy 3.13
6 Te 0.6426 0.6475 0.6563  1 U 2.99, 2 Dy 3.09-3.10
7 U 0.0000 0.0000 0.0000  6 Te 2.99-3.05
8 Te 0.3574 0.3525 0.3437  1 U 2.99, 2 Dy 3.09-3.10
9 Dy 0.5000 0.0000 0.5000  6 Te 3.09-3.13
10 U 0.5000 0.5000 0.0000  6 Te 2.99-3.05
11 Te 0.1600 0.3420 0.8476  2 U 3.04-3.05, 1 Dy 3.13
12 Te 0.8574 0.1475 0.3437  1 U 2.99, 2 Dy 3.09-3.10


Entry 3:
VASP calculation (PBE-GGA) on crystalline LiFe2W at its relaxed geometry.

Output
**Total moment**: 3.51 μB per formula unit
**ΔH_f (0 K)**: 0.3195 eV/atom

a b c (Å): 4.4350 4.4350 2.7158
angles (deg): 90.00 90.00 104.11
Last column: nearest neighbours and their distance in Å.
Element x y z (fractional)
1 Fe 0.5000 0.5000 0.0000  4 Li 2.60, 4 W 2.60, 4 Fe 2.72-2.73
2 Fe 0.0000 0.0000 0.0000  4 W 2.60, 4 Li 2.60, 4 Fe 2.72-2.73
3 Li 0.5000 0.0000 0.5000  8 Fe 2.60, 2 Li 2.72, 2 W 2.73
4 W 0.0000 0.5000 0.5000  8 Fe 2.60, 2 W 2.72, 2 Li 2.73


Entry 4:
VASP calculation (PBE-GGA) on crystalline Ce2MgGa4Pd3 at its relaxed geometry.

Output
**Total moment**: 1.32 μB per formula unit
**ΔH_f (0 K)**: -0.6692 eV/atom

a b c (Å): 4.1591 4.1591 11.4253
angles (deg): 90.00 90.00 90.00
Last column: nearest neighbours and their distance in Å.
Element x y z (fractional)
1 Ce 0.0000 0.5000 0.7655  4 Pd 3.15, 8 Ga 3.24-3.39
2 Ce 0.5000 0.0000 0.2345  4 Pd 3.15, 8 Ga 3.24-3.39
3 Pd 0.5000 0.0000 0.8654  5 Ga 2.50-2.59
4 Ga 0.5000 0.5000 0.0000  4 Pd 2.59
5 Mg 0.5000 0.5000 0.5000  4 Ga 2.67, 4 Pd 2.94
6 Ga 0.0000 0.0000 0.0000  4 Pd 2.59
7 Ga 0.0000 0.5000 0.3537  3 Pd 2.50-2.67, 2 Mg 2.67
8 Pd 0.0000 0.0000 0.5000  4 Ga 2.67, 4 Mg 2.94
9 Pd 0.0000 0.5000 0.1346  5 Ga 2.50-2.59
10 Ga 0.5000 0.0000 0.6463  3 Pd 2.50-2.67, 2 Mg 2.67


| no. | E (eV/atom) |
| --- | --- |
| 1 | -4.400 |
| 2 | -5.443 |
| 3 | -7.629 |
| 4 | -4.784 |